Here is a geometry-optimized YRhCl2 structure from the Alexandria database. Energies are from GGA-PBE.

Properties
**Theoretical density**: 5.78 g/cm³
**SG**: P4/mmm
**VASP energy**: -4.91 eV per atom
**Energy above the lowest structure with this stoichiometry**: 66.40 kJ/mol of atoms
**Formation energy without anion corrections**: -0.53 eV/atom
**Crystal system**: tetragonal
**Total magnetization**: 0.1095 μB/atom

abc: 3.4299 3.4299 6.4172
angles: 90.00 90.00 90.00
Element x y z (fractional)
Y 0.0000 0.0000 0.0000
Rh 0.0000 0.0000 0.5000
Cl 0.5000 0.5000 0.2345
Cl 0.5000 0.5000 0.7655


Here is a geometry-optimized YRh2Cl structure from the Alexandria database. Energies are from GGA-PBE.

Properties
**Theoretical density**: 7.10 g/cm³
**SG**: Cm
**VASP energy**: -6.15 eV per atom
**Energy above the lowest structure with this stoichiometry**: 14.73 kJ/mol of atoms
**Formation energy without anion corrections**: -0.40 eV/atom
**Crystal system**: monoclinic
**Total magnetization**: 0.0000 μB/atom

abc: 4.9834 4.9834 4.8016
angles: 111.21 111.21 44.75
Element x y z (fractional)
Y 0.0000 0.0000 0.0000
Rh 0.2332 0.2332 0.6076
Rh 0.5419 0.5419 0.5879
Cl 0.8334 0.8334 0.3777


Here is a geometry-optimized YRhCl2 structure from the Alexandria database. Energies are from GGA-PBE.

Properties
**Theoretical density**: 5.78 g/cm³
**SG**: I-4m2
**VASP energy**: -5.14 eV per atom
**Energy above the lowest structure with this stoichiometry**: 44.54 kJ/mol of atoms
**Formation energy without anion corrections**: -0.76 eV/atom
**Crystal system**: tetragonal
**Total magnetization**: 0.0000 μB/atom

abc: 5.5857 5.5857 5.5857
angles: 138.60 138.60 59.98
Element x y z (fractional)
Y 0.0000 0.0000 0.0000
Rh 0.7500 0.2500 0.5000
Cl 0.2500 0.7500 0.5000
Cl 0.5000 0.5000 0.0000


Result set for calculated volume: 18.873 19.314 18.858 Å³ per atom, one per record in the order listed.